# 1
Below is a relaxed structure of Pm6Pr2HoTm, with properties calculated at the GGA-PBE level. Values from VASP.

Geometry as Quantum ESPRESSO input:
```
&SYSTEM
  ibrav = 0, nat = 20, ntyp = 4
/
ATOMIC_SPECIES
Pm 145.00 Pm.upf
Pr 140.91 Pr.upf
Ho 164.93 Ho.upf
Tm 168.93 Tm.upf
ATOMIC_POSITIONS crystal
Pm 0.017 0.576 0.190
Pm 0.124 0.751 0.556
Pm 0.249 0.876 0.944
Pm 0.292 0.501 0.381
Pm 0.424 0.983 0.310
Pm 0.499 0.708 0.119
Pm 0.501 0.292 0.881
Pm 0.576 0.017 0.690
Pm 0.708 0.499 0.619
Pm 0.751 0.124 0.056
Pm 0.876 0.249 0.444
Pm 0.983 0.424 0.810
Pr 0.195 0.297 0.042
Pr 0.297 0.195 0.542
Pr 0.703 0.805 0.458
Pr 0.805 0.703 0.958
Ho 0.018 0.982 0.250
Ho 0.982 0.018 0.750
Tm 0.408 0.592 0.750
Tm 0.592 0.408 0.250
CELL_PARAMETERS angstrom
4.595 -7.667 0.000
4.595 7.667 0.000
-1.488 0.000 9.729
```

## Properties
Density of states at the Fermi level: 14.34 states/eV/f.u.
SG: C2/c, No. 15

=====

# 2
Below is a relaxed structure of CaYCl2F, with properties calculated at the GGA-PBE level. Values from VASP.

Geometry as Quantum ESPRESSO input:
```
&SYSTEM
  ibrav = 0, nat = 5, ntyp = 4
/
ATOMIC_SPECIES
Ca 40.08 Ca.upf
Y 88.91 Y.upf
Cl 35.45 Cl.upf
F 19.00 F.upf
ATOMIC_POSITIONS crystal
Ca 0.000 0.000 0.000
Y 0.500 0.500 0.000
Cl 0.000 0.500 0.500
Cl 0.500 0.000 0.500
F 0.500 0.500 0.500
CELL_PARAMETERS angstrom
5.581 0.000 0.000
0.000 5.581 0.000
0.000 0.000 4.188
```

## Properties
Density of states at the Fermi level: 1.72 states/eV/f.u.
SG: P4/mmm, No. 123
Formation energy (no corrections): -1.695 eV per atom

=====

The evaluated total DFT energy (no corrections) for the records listed, in turn: -0.169; -0.165 hartree per atom.